## Mg3ReN (PBEsol)

Data for crystalline Mg3ReN at its relaxed geometry.

extended XYZ file:
```
5
Lattice="5.1163 0.0000 0.0000 0.0000 5.1163 0.0000 0.0000 0.0000 5.1163" Properties=species:S:1:pos:R:3 pbc="T T T"
Re 0.0000 0.0000 0.0000
Mg 0.0000 2.5581 0.0000
Mg 0.0000 0.0000 2.5581
Mg 2.5581 0.0000 0.0000
N 2.5581 2.5581 2.5581
```

Energy relative to the elements, uncorrected ... 2077 meV per atom
Theoretical density ... 3.4 g/cm³

***

## MgReTeN2 (PBEsol)

Data for crystalline MgReTeN2 at its relaxed geometry.

extended XYZ file:
```
5
Lattice="-2.6411 2.5751 1.2185 -1.5478 -2.6920 2.3341 3.4958 1.6099 4.1748" Properties=species:S:1:pos:R:3 pbc="T T T"
Re 0.0000 0.0000 0.0000
Mg -0.3465 0.7464 3.8638
Te 1.7479 0.8049 2.0874
N -0.7739 -1.3460 1.1671
N -1.3205 1.2875 0.6093
```

Energy relative to the elements, uncorrected ... 186 meV per atom
Theoretical density ... 7.1 g/cm³

***

## MgRuS2N (PBEsol)

Data for crystalline MgRuS2N at its relaxed geometry.

extended XYZ file:
```
5
Lattice="3.7054 0.0000 0.0000 0.0000 4.6409 0.0000 0.0000 0.0000 4.6409" Properties=species:S:1:pos:R:3 pbc="T T T"
Ru 1.8527 2.3205 2.3205
S 0.0000 0.0000 2.3205
S 0.0000 2.3205 0.0000
Mg 0.0000 0.0000 0.0000
N 1.8527 0.0000 0.0000
```

Energy relative to the elements, uncorrected ... 1252 meV per atom
Theoretical density ... 4.2 g/cm³

***

## MgSN3 (PBEsol)

Data for crystalline MgSN3 at its relaxed geometry.

extended XYZ file:
```
5
Lattice="3.5215 0.0000 0.0000 0.0000 3.5215 0.0000 0.0000 0.0000 3.5215" Properties=species:S:1:pos:R:3 pbc="T T T"
S 0.0000 0.0000 0.0000
Mg 1.7607 1.7607 1.7607
N 0.0000 1.7607 0.0000
N 0.0000 0.0000 1.7607
N 1.7607 0.0000 0.0000
```

Energy relative to the elements, uncorrected ... 977 meV per atom
Theoretical density ... 3.7 g/cm³

***

## MgScSN2 (PBEsol)

Data for crystalline MgScSN2 at its relaxed geometry.

extended XYZ file:
```
5
Lattice="4.0041 0.0000 0.0000 0.0000 4.0041 0.0000 0.0000 0.0000 5.1374" Properties=species:S:1:pos:R:3 pbc="T T T"
Sc 0.0000 0.0000 0.0000
S 0.0000 0.0000 2.5687
Mg 2.0021 2.0021 2.5687
N 0.0000 2.0021 0.0000
N 2.0021 0.0000 0.0000
```

Energy relative to the elements, uncorrected ... 97 meV per atom
Theoretical density ... 2.6 g/cm³

***

## SrMgS2N (PBEsol)

Data for crystalline SrMgS2N at its relaxed geometry.

extended XYZ file:
```
5
Lattice="4.6085 0.0000 0.0000 0.0000 5.4448 0.0000 0.0000 0.0000 5.4448" Properties=species:S:1:pos:R:3 pbc="T T T"
Sr 0.0000 0.0000 0.0000
S 0.0000 0.0000 2.7224
S 0.0000 2.7224 0.0000
Mg 2.3043 2.7224 2.7224
N 2.3043 0.0000 0.0000
```

Energy relative to the elements, uncorrected ... 541 meV per atom
Theoretical density ... 2.3 g/cm³

***

## MgTeSN2 (PBEsol)

Data for crystalline MgTeSN2 at its relaxed geometry.

extended XYZ file:
```
5
Lattice="-0.5754 -0.6616 3.9045 1.4356 -3.7120 -0.4174 5.6906 2.0671 1.1888" Properties=species:S:1:pos:R:3 pbc="T T T"
S 3.2754 -1.1532 2.3380
Te 2.8453 1.0336 0.5944
Mg 0.0000 0.0000 0.0000
N 0.7178 -1.8560 -0.2087
N -0.2877 -0.3308 1.9523
```

Energy relative to the elements, uncorrected ... 1359 meV per atom
Theoretical density ... 3.6 g/cm³

***

## MgTiS2N (PBEsol)

Data for crystalline MgTiS2N at its relaxed geometry.

extended XYZ file:
```
5
Lattice="3.7512 0.0000 0.0000 0.0000 4.7820 0.0000 0.0000 0.0000 4.7820" Properties=species:S:1:pos:R:3 pbc="T T T"
S 0.0000 0.0000 2.3910
S 0.0000 2.3910 0.0000
N 1.8756 0.0000 0.0000
Mg 1.8756 2.3910 2.3910
Ti 0.0000 0.0000 0.0000
```

Energy relative to the elements, uncorrected ... -560 meV per atom
Theoretical density ... 2.9 g/cm³

***

## MgWSN2 (PBEsol)

Data for crystalline MgWSN2 at its relaxed geometry.

extended XYZ file:
```
5
Lattice="3.7802 0.0000 0.0000 0.0000 3.7802 0.0000 0.0000 0.0000 4.6060" Properties=species:S:1:pos:R:3 pbc="T T T"
S 0.0000 0.0000 2.3030
Mg 0.0000 0.0000 0.0000
W 1.8901 1.8901 2.3030
N 0.0000 1.8901 0.0000
N 1.8901 0.0000 0.0000
```

Energy relative to the elements, uncorrected ... 1602 meV per atom
Theoretical density ... 6.8 g/cm³

***

## MgSbTeN2 (PBEsol)

Data for crystalline MgSbTeN2 at its relaxed geometry.

extended XYZ file:
```
5
Lattice="4.0452 0.0000 0.0000 0.0000 4.0452 0.0000 0.0000 0.0000 6.0891" Properties=species:S:1:pos:R:3 pbc="T T T"
Sb 0.0000 0.0000 0.0000
Mg 2.0226 2.0226 3.0445
Te 0.0000 0.0000 3.0445
N 0.0000 2.0226 0.0000
N 2.0226 0.0000 0.0000
```

Energy relative to the elements, uncorrected ... 836 meV per atom
Theoretical density ... 5.0 g/cm³

***

## MgScN2 (PBEsol)

Data for crystalline MgScN2 at its relaxed geometry.

extended XYZ file:
```
4
Lattice="-1.9811 0.6747 2.5884 1.2374 -0.0106 3.0901 1.0654 6.0187 1.3869" Properties=species:S:1:pos:R:3 pbc="T T T"
Sc 0.1608 3.3414 3.5327
Mg 0.0000 0.0000 0.0000
N -0.3204 2.5328 5.5155
N 0.6420 4.1500 1.5500
```

Energy relative to the elements, uncorrected ... -541 meV per atom
Theoretical density ... 2.8 g/cm³

***

## MgSc3N (PBEsol)

Data for crystalline MgSc3N at its relaxed geometry.

extended XYZ file:
```
5
Lattice="4.4779 0.0000 0.0000 0.0000 4.4779 0.0000 0.0000 0.0000 4.4779" Properties=species:S:1:pos:R:3 pbc="T T T"
Sc 0.0000 2.2390 0.0000
Sc 0.0000 0.0000 2.2390
Sc 2.2390 0.0000 0.0000
Mg 2.2390 2.2390 2.2390
N 0.0000 0.0000 0.0000
```

Energy relative to the elements, uncorrected ... -876 meV per atom
Theoretical density ... 3.2 g/cm³

***

## Mg2SeN (PBEsol)

Data for crystalline Mg2SeN at its relaxed geometry.

extended XYZ file:
```
8
Lattice="-4.8470 -3.8026 1.7659 5.2802 -1.4201 -0.1944 -2.4767 4.7749 3.4840" Properties=species:S:1:pos:R:3 pbc="T T T"
Mg -1.8681 -0.3370 2.0811
Mg -4.6465 0.8422 4.3841
Mg 2.0320 1.0087 1.9349
Mg 0.3955 -2.4098 1.7109
Se -0.4292 1.9204 2.9573
Se 0.0000 0.0000 0.0000
N -1.6143 -2.3683 2.0982
N -3.6619 0.4861 2.6250
```

Energy relative to the elements, uncorrected ... -580 meV per atom
Theoretical density ... 3.7 g/cm³

***

## MgSiSe2N (PBEsol)

Data for crystalline MgSiSe2N at its relaxed geometry.

extended XYZ file:
```
5
Lattice="3.8793 0.0000 0.0000 0.0000 5.0515 0.0000 0.0000 0.0000 5.0515" Properties=species:S:1:pos:R:3 pbc="T T T"
Si 1.9396 2.5258 2.5258
Mg 0.0000 0.0000 0.0000
Se 0.0000 0.0000 2.5258
Se 0.0000 2.5258 0.0000
N 1.9396 0.0000 0.0000
```

Energy relative to the elements, uncorrected ... 801 meV per atom
Theoretical density ... 3.8 g/cm³

***

## MgSnSeN2 (PBEsol)

Data for crystalline MgSnSeN2 at its relaxed geometry.

extended XYZ file:
```
5
Lattice="4.1603 0.0000 0.0000 0.0000 4.1603 0.0000 0.0000 0.0000 5.1911" Properties=species:S:1:pos:R:3 pbc="T T T"
Mg 0.0000 0.0000 0.0000
Sn 2.0802 2.0802 2.5956
Se 0.0000 0.0000 2.5956
N 0.0000 2.0802 0.0000
N 2.0802 0.0000 0.0000
```

Energy relative to the elements, uncorrected ... 964 meV per atom
Theoretical density ... 4.6 g/cm³

***

## MgTaSe2N (PBEsol)

Data for crystalline MgTaSe2N at its relaxed geometry.

extended XYZ file:
```
5
Lattice="-1.4436 -2.4545 -2.4123 3.1911 -3.3772 1.5266 -3.1870 -1.4722 3.4051" Properties=species:S:1:pos:R:3 pbc="T T T"
Mg 0.0000 0.0000 0.0000
N -0.7218 -1.2272 -1.2062
Se -1.5935 -0.7361 1.7025
Se 1.5956 -1.6886 0.7633
Ta -0.7197 -3.6519 1.2596
```

Energy relative to the elements, uncorrected ... 840 meV per atom
Theoretical density ... 7.0 g/cm³

***

## MgTiSeN2 (PBEsol)

Data for crystalline MgTiSeN2 at its relaxed geometry.

extended XYZ file:
```
5
Lattice="3.8442 0.0000 0.0000 0.0000 3.8442 0.0000 0.0000 0.0000 5.0112" Properties=species:S:1:pos:R:3 pbc="T T T"
Mg 0.0000 0.0000 0.0000
N 0.0000 1.9221 0.0000
N 1.9221 0.0000 0.0000
Se 0.0000 0.0000 2.5056
Ti 1.9221 1.9221 2.5056
```

Energy relative to the elements, uncorrected ... 866 meV per atom
Theoretical density ... 4.0 g/cm³

***

## MgTlSe2N (PBEsol)

Data for crystalline MgTlSe2N at its relaxed geometry.

extended XYZ file:
```
5
Lattice="4.0180 0.0000 0.0000 0.0000 5.2104 0.0000 0.0000 0.0000 5.2104" Properties=species:S:1:pos:R:3 pbc="T T T"
Tl 2.0090 2.6052 2.6052
Mg 0.0000 0.0000 0.0000
Se 0.0000 0.0000 2.6052
Se 0.0000 2.6052 0.0000
N 2.0090 0.0000 0.0000
```

Energy relative to the lowest polymorph listed for this composition ... 0.0000 eV per atom
Energy relative to the elements, uncorrected ... 459 meV per atom
Theoretical density ... 6.1 g/cm³

***

## MgTlSe2N (PBEsol)

Data for crystalline MgTlSe2N at its relaxed geometry.

extended XYZ file:
```
5
Lattice="-1.5817 3.6256 -1.3308 -4.3887 -2.5703 -1.7863 -2.3714 0.7224 4.7867" Properties=species:S:1:pos:R:3 pbc="T T T"
Tl 0.0000 0.0000 0.0000
Mg -4.1709 0.8889 0.8348
Se -1.1857 0.3612 2.3934
Se -2.1943 -1.2851 -0.8932
N -0.7909 1.8128 -0.6654
```

Energy relative to the lowest polymorph listed for this composition ... 0.3433 eV per atom
Energy relative to the elements, uncorrected ... 802 meV per atom
Theoretical density ... 5.5 g/cm³

***

## MgTlSeN2 (PBEsol)

Data for crystalline MgTlSeN2 at its relaxed geometry.

extended XYZ file:
```
5
Lattice="4.1708 0.0000 0.0000 0.0000 4.1708 0.0000 0.0000 0.0000 5.3610" Properties=species:S:1:pos:R:3 pbc="T T T"
Tl 2.0854 2.0854 2.6805
Mg 0.0000 0.0000 0.0000
Se 0.0000 0.0000 2.6805
N 0.0000 2.0854 0.0000
N 2.0854 0.0000 0.0000
```

Energy relative to the elements, uncorrected ... 1027 meV per atom
Theoretical density ... 6.0 g/cm³